<A>
TbY4Er2 | the Alexandria database | PBE-GGA | optimized geometry; mass density = 6.1 g cm⁻³; magnetization = 0.00 μB per formula unit
1.0
-1.006 -4.261 -5.098
6.362 -6.260 -0.452
-4.624 -7.221 2.519
Tb Y Er
2 8 4
Cartesian
3.181 -3.130 -0.226
2.678 -5.261 -2.775
0.534 -5.379 -0.039
1.266 -12.132 1.032
-2.136 -7.836 0.545
-2.688 -10.177 -2.255
3.420 -7.567 -0.776
-0.534 -5.611 -4.063
2.868 -9.907 -3.576
0.198 -12.364 -2.992
3.725 -10.689 -0.659
-0.503 -2.131 -2.549
0.366 -8.872 -1.516
-2.993 -7.054 -2.372

<B>
TbY4Er2 | the Alexandria database | PBE-GGA | optimized geometry; mass density = 6.2 g cm⁻³; magnetization = 0.00 μB per formula unit
1.0
-2.864 0.146 -1.999
6.032 2.665 -5.391
-0.935 -8.597 0.685
Tb Y Er
1 4 2
Cartesian
0.000 0.000 0.000
2.787 -3.110 -4.238
0.081 -5.593 -0.535
-0.554 -2.675 -2.467
2.153 -0.192 -6.171
1.901 -0.045 -2.738
0.332 -5.740 -3.967

Stability ranking, top entry: <B>; the second entry is 0.156 eV/atom less favorable.

<A>
Tb5Y2Er2 | the Alexandria database | PBE-GGA | optimized geometry; mass density = 7.4 g cm⁻³; magnetization = 0.00 μB per formula unit
1.0
-0.576 -2.611 -2.250
11.468 1.990 -2.530
6.481 -4.421 3.472
Tb Y Er
5 2 2
Cartesian
6.236 -0.602 -0.897
11.137 -4.440 -0.411
4.848 -2.391 1.534
12.525 -2.651 -2.842
0.000 0.000 0.000
8.371 -2.781 1.084
9.002 -2.262 -2.393
14.521 -3.268 0.076
2.852 -1.775 -1.384

<B>
Tb5Y2Er2 | the Alexandria database | PBE-GGA | optimized geometry; mass density = 7.5 g cm⁻³; magnetization = 0.00 μB per formula unit
1.0
-7.054 8.975 -2.639
-5.270 -3.483 2.242
7.195 0.061 6.986
Tb Y Er
10 4 4
Cartesian
1.585 -0.451 7.221
-8.922 4.545 0.307
4.224 1.286 6.102
-6.291 6.292 -0.816
-0.771 3.310 1.072
-3.171 3.028 5.013
-3.612 1.830 2.116
-0.330 4.508 3.968
-6.887 6.731 2.317
2.795 -0.493 3.831
-2.665 -1.234 2.970
-3.060 6.394 3.872
-3.569 5.010 0.525
-2.155 0.150 6.317
-0.113 -0.075 0.048
-6.275 2.671 -0.150
-0.123 1.132 3.603
-6.129 3.680 3.464

Stability ranking, top entry: <A>; the second entry is 0.087 eV/atom less favorable.

<A>
Tb7YEr3 | the Alexandria database | PBE-GGA | optimized geometry; mass density = 7.9 g cm⁻³; magnetization = 0.00 μB per formula unit
1.0
8.412 -0.725 -2.848
-2.223 9.569 -0.623
-1.877 -0.096 5.194
Tb Y Er
7 1 3
Cartesian
4.161 7.194 1.638
4.888 5.517 -1.067
4.518 2.304 -1.261
-0.206 6.444 2.983
3.268 -0.411 1.173
-0.576 3.231 2.789
0.152 1.554 0.084
2.156 4.374 0.861
0.499 -0.215 3.114
-1.111 4.785 -0.312
3.813 8.962 -1.392

<B>
Tb7YEr3 | the Alexandria database | PBE-GGA | optimized geometry; mass density = 7.9 g cm⁻³; magnetization = 0.35 μB per formula unit
1.0
0.246 -3.023 -4.921
-3.710 -4.549 6.015
-7.160 4.389 0.351
Tb Y Er
7 1 3
Cartesian
-2.200 -0.664 0.292
-4.232 1.694 -1.244
-8.441 0.430 -0.674
-2.183 -3.615 2.119
-5.435 -0.080 3.183
-6.393 -4.878 2.690
-8.424 -2.520 1.153
-5.312 -1.592 0.723
-4.420 -2.711 4.850
0.123 -1.512 -2.461
-6.450 2.550 1.516

Stability ranking, top entry: <A>; the second entry is 0.124 eV/atom less favorable.